{
  "formula": "ZrCoIr2",
  "functional": "GGA-PBE",
  "state": "optimized geometry",
  "total_magnetization_mub_per_fu": 1.8,
  "mass_density_g_cm3": 14.4,
  "formation_energy_mev_per_atom": -398,
  "lattice": [[4.812, 0.002, -0.010], [1.545, 4.557, 0.010], [-3.172, -2.288, 2.803]],
  "species": ["Co", "Ir", "Ir", "Zr"],
  "fractional_positions": [[0.250, 0.750, 0.500], [0.000, 0.000, 0.000], [0.500, 0.500, 0.000], [0.750, 0.250, 0.500]]
}



{
  "formula": "Zr4Co2Ir",
  "functional": "GGA-PBE",
  "state": "optimized geometry",
  "total_magnetization_mub_per_fu": 0.0,
  "mass_density_g_cm3": 8.3,
  "formation_energy_mev_per_atom": -359,
  "lattice": [[0.400, -5.279, 4.036], [6.086, 0.362, 2.674], [-3.778, 4.573, 3.166]],
  "species": ["Ir", "Ir", "Co", "Co", "Co", "Co", "Zr", "Zr", "Zr", "Zr", "Zr", "Zr", "Zr", "Zr"],
  "fractional_positions": [[0.830, 0.830, 0.177], [0.857, 0.857, 0.739], [0.347, 0.347, 0.681], [0.330, 0.330, 0.208], [0.922, 0.414, 0.607], [0.414, 0.922, 0.607], [0.122, 0.122, 0.825], [0.624, 0.624, 0.351], [0.119, 0.119, 0.336], [0.611, 0.165, 0.976], [0.165, 0.611, 0.976], [0.613, 0.613, 0.813], [0.147, 0.650, 0.478], [0.650, 0.147, 0.478]]
}



Repeat the second record exactly.
{
  "formula": "Zr4Co2Ir",
  "functional": "GGA-PBE",
  "state": "optimized geometry",
  "total_magnetization_mub_per_fu": 0.0,
  "mass_density_g_cm3": 8.3,
  "formation_energy_mev_per_atom": -359,
  "lattice": [[0.400, -5.279, 4.036], [6.086, 0.362, 2.674], [-3.778, 4.573, 3.166]],
  "species": ["Ir", "Ir", "Co", "Co", "Co", "Co", "Zr", "Zr", "Zr", "Zr", "Zr", "Zr", "Zr", "Zr"],
  "fractional_positions": [[0.830, 0.830, 0.177], [0.857, 0.857, 0.739], [0.347, 0.347, 0.681], [0.330, 0.330, 0.208], [0.922, 0.414, 0.607], [0.414, 0.922, 0.607], [0.122, 0.122, 0.825], [0.624, 0.624, 0.351], [0.119, 0.119, 0.336], [0.611, 0.165, 0.976], [0.165, 0.611, 0.976], [0.613, 0.613, 0.813], [0.147, 0.650, 0.478], [0.650, 0.147, 0.478]]
}